Here is AlSCl3 after structural relaxation from the Alexandria database. Energies are from GGA-PBE.

Properties
As for the formation energy (no corrections): 50 meV per atom. The calculation puts the excess energy over the best structure of this formula in the dataset at 0.367 eV per atom. For the final energy, the calculation gives -13.16 eV for the cell shown.

Lattice parameters (Å, degrees): 4.986 4.986 4.986 90.00 90.00 90.00
Element x y z (fractional)
Al  0.000  0.000  0.000
S  0.500  0.500  0.500
Cl  0.000  0.500  0.500
Cl  0.500  0.000  0.500
Cl  0.500  0.500  0.000